# MnMoS PBE-GGA relaxed
data_MnMoS
_cell_length_a 5.350
_cell_length_b 2.979
_cell_length_c 10.088
_cell_angle_alpha 90.00
_cell_angle_beta 100.61
_cell_angle_gamma 90.00
_space_group_name_H-M_alt 'P 1'
_space_group_IT_number 1
loop_
_space_group_symop_operation_xyz
'x,y,z'
loop_
_atom_site_label
_atom_site_type_symbol
_atom_site_fract_x
_atom_site_fract_y
_atom_site_fract_z
Mo1 Mo 0.651 0.000 0.176
Mo2 Mo 0.349 0.000 0.824
Mo3 Mo 0.651 0.500 0.676
Mo4 Mo 0.349 0.500 0.324
Mn1 Mn 0.715 0.000 0.461
Mn2 Mn 0.285 0.000 0.539
Mn3 Mn 0.715 0.500 0.961
Mn4 Mn 0.285 0.500 0.039
S1 S 0.096 0.000 0.147
S2 S 0.904 0.000 0.853
S3 S 0.096 0.500 0.647
S4 S 0.904 0.500 0.353
# Formation energy (no corrections)   -175 meV/atom
# ΔE to the lowest computed polymorph   0.11 eV per formula unit